{
  "formula": "TmV2Re",
  "functional": "GGA-PBE",
  "state": "optimized geometry",
  "lattice": [[0.000, 3.188, 3.188], [3.188, 0.000, 3.188], [3.188, 3.188, 0.000]],
  "species": ["Tm", "V", "V", "Re"],
  "fractional_positions": [[0.000, 0.000, 0.000], [0.250, 0.250, 0.250], [0.750, 0.750, 0.750], [0.500, 0.500, 0.500]],
  "delta_e_f_mev_per_atom": 195,
  "relative_energy_ev_per_atom": 0.089,
  "dos_at_fermi_per_ev_cell": 6.07
}

{
  "formula": "TmV2Re",
  "functional": "GGA-PBE",
  "state": "optimized geometry",
  "lattice": [[3.100, 0.000, 0.000], [0.000, 3.100, 0.000], [0.000, 0.000, 7.112]],
  "species": ["Tm", "V", "V", "Re"],
  "fractional_positions": [[0.000, 0.000, 0.000], [0.500, 0.500, 0.301], [0.500, 0.500, 0.699], [0.000, 0.000, 0.500]],
  "delta_e_f_mev_per_atom": 106,
  "relative_energy_ev_per_atom": 0.000,
  "dos_at_fermi_per_ev_cell": 6.33
}

{
  "formula": "YTmRe",
  "functional": "GGA-PBE",
  "state": "optimized geometry",
  "lattice": [[3.294, -5.956, 0.000], [3.294, 5.956, 0.000], [0.000, 0.000, 7.987]],
  "species": ["Y", "Y", "Y", "Y", "Tm", "Tm", "Tm", "Tm", "Re", "Re", "Re", "Re"],
  "fractional_positions": [[0.188, 0.812, 0.895], [0.312, 0.688, 0.395], [0.688, 0.312, 0.605], [0.812, 0.188, 0.105], [0.194, 0.306, 0.750], [0.306, 0.194, 0.250], [0.694, 0.806, 0.750], [0.806, 0.694, 0.250], [0.095, 0.905, 0.553], [0.405, 0.595, 0.053], [0.595, 0.405, 0.947], [0.905, 0.095, 0.447]],
  "delta_e_f_mev_per_atom": 156,
  "dos_at_fermi_per_ev_cell": 15.13
}

{
  "formula": "YTm2Re",
  "functional": "GGA-PBE",
  "state": "optimized geometry",
  "lattice": [[1.601, 0.924, 11.237], [-1.601, 0.924, 11.237], [0.000, -1.848, 11.237]],
  "species": ["Y", "Tm", "Tm", "Re"],
  "fractional_positions": [[0.000, 0.000, 0.000], [0.421, 0.421, 0.421], [0.579, 0.579, 0.579], [0.500, 0.500, 0.500]],
  "delta_e_f_mev_per_atom": 772,
  "dos_at_fermi_per_ev_cell": 5.37
}

{
  "formula": "TmZnRe",
  "functional": "GGA-PBE",
  "state": "optimized geometry",
  "lattice": [[11.072, -1.793, 0.000], [11.072, 1.793, 0.000], [-0.426, 0.000, 3.109]],
  "species": ["Tm", "Tm", "Zn", "Zn", "Re", "Re"],
  "fractional_positions": [[0.083, 0.083, 0.326], [0.917, 0.917, 0.674], [0.213, 0.213, 0.446], [0.787, 0.787, 0.554], [0.337, 0.337, 0.099], [0.663, 0.663, 0.901]],
  "delta_e_f_mev_per_atom": 339,
  "dos_at_fermi_per_ev_cell": 3.40
}

{
  "formula": "U5Re",
  "functional": "GGA-PBE",
  "state": "optimized geometry",
  "lattice": [[2.553, -7.588, 0.000], [2.553, 7.588, 0.000], [0.000, 0.000, 3.014]],
  "species": ["U", "U", "U", "U", "U", "Re"],
  "fractional_positions": [[0.000, 0.000, 0.000], [0.160, 0.840, 0.500], [0.333, 0.667, 0.000], [0.667, 0.333, 0.000], [0.840, 0.160, 0.500], [0.500, 0.500, 0.500]],
  "delta_e_f_mev_per_atom": 113,
  "dos_at_fermi_per_ev_cell": 14.36
}

{
  "formula": "U2Re",
  "functional": "GGA-PBE",
  "state": "optimized geometry",
  "lattice": [[4.688, 0.000, 0.000], [-2.344, 4.060, 0.000], [0.000, 0.000, 2.942]],
  "species": ["U", "U", "Re"],
  "fractional_positions": [[0.333, 0.667, 0.361], [0.667, 0.333, 0.639], [0.000, 0.000, 0.000]],
  "delta_e_f_mev_per_atom": -4,
  "relative_energy_ev_per_atom": 0.000,
  "dos_at_fermi_per_ev_cell": 8.57
}

{
  "formula": "URe5",
  "functional": "GGA-PBE",
  "state": "optimized geometry",
  "lattice": [[2.039, -6.028, 0.000], [2.039, 6.028, 0.000], [0.000, 0.000, 4.010]],
  "species": ["U", "Re", "Re", "Re", "Re", "Re"],
  "fractional_positions": [[0.000, 0.000, 0.000], [0.177, 0.823, 0.500], [0.317, 0.683, 0.000], [0.500, 0.500, 0.500], [0.683, 0.317, 0.000], [0.823, 0.177, 0.500]],
  "delta_e_f_mev_per_atom": 92,
  "dos_at_fermi_per_ev_cell": 6.35
}

{
  "formula": "U4Re",
  "functional": "GGA-PBE",
  "state": "optimized geometry",
  "lattice": [[3.578, -3.456, 0.000], [3.578, 3.456, 0.000], [-2.212, 0.000, 4.025]],
  "species": ["U", "U", "U", "U", "Re"],
  "fractional_positions": [[0.194, 0.194, 0.729], [0.214, 0.786, 0.000], [0.786, 0.214, 0.000], [0.806, 0.806, 0.271], [0.500, 0.500, 0.500]],
  "delta_e_f_mev_per_atom": 291,
  "relative_energy_ev_per_atom": 0.000,
  "dos_at_fermi_per_ev_cell": 11.85
}

{
  "formula": "U2Re",
  "functional": "GGA-PBE",
  "state": "optimized geometry",
  "lattice": [[-1.703, 1.703, 4.845], [1.703, -1.703, 4.845], [1.703, 1.703, -4.845]],
  "species": ["U", "U", "Re"],
  "fractional_positions": [[0.181, 0.181, 0.000], [0.819, 0.819, 0.000], [0.500, 0.500, 0.000]],
  "delta_e_f_mev_per_atom": 14,
  "relative_energy_ev_per_atom": 0.018,
  "dos_at_fermi_per_ev_cell": 7.59
}

{
  "formula": "URe4",
  "functional": "GGA-PBE",
  "state": "optimized geometry",
  "lattice": [[4.732, 0.000, 0.000], [0.000, 4.732, 0.000], [0.000, 0.000, 4.732]],
  "species": ["U", "Re", "Re", "Re", "Re"],
  "fractional_positions": [[0.000, 0.000, 0.000], [0.000, 0.000, 0.500], [0.000, 0.500, 0.000], [0.500, 0.000, 0.000], [0.500, 0.500, 0.500]],
  "delta_e_f_mev_per_atom": 2613,
  "dos_at_fermi_per_ev_cell": 6.05
}

{
  "formula": "U4Re",
  "functional": "GGA-PBE",
  "state": "optimized geometry",
  "lattice": [[5.229, 0.000, 0.000], [0.000, 5.229, 0.000], [0.000, 0.000, 5.229]],
  "species": ["U", "U", "U", "U", "Re"],
  "fractional_positions": [[0.000, 0.000, 0.000], [0.000, 0.500, 0.500], [0.500, 0.000, 0.500], [0.500, 0.500, 0.000], [0.500, 0.500, 0.500]],
  "delta_e_f_mev_per_atom": 1159,
  "relative_energy_ev_per_atom": 0.867,
  "dos_at_fermi_per_ev_cell": 27.28
}

{
  "formula": "URe6",
  "functional": "GGA-PBE",
  "state": "optimized geometry",
  "lattice": [[-3.446, 3.446, 3.446], [3.446, -3.446, 3.446], [3.446, 3.446, -3.446]],
  "species": ["U", "Re", "Re", "Re", "Re", "Re", "Re"],
  "fractional_positions": [[0.000, 0.000, 0.000], [0.250, 0.500, 0.750], [0.250, 0.750, 0.500], [0.500, 0.250, 0.750], [0.500, 0.750, 0.250], [0.750, 0.250, 0.500], [0.750, 0.500, 0.250]],
  "delta_e_f_mev_per_atom": 1304,
  "dos_at_fermi_per_ev_cell": 9.89
}

{
  "formula": "U3Re2",
  "functional": "GGA-PBE",
  "state": "optimized geometry",
  "lattice": [[3.569, -3.841, 0.000], [3.569, 3.841, 0.000], [0.000, 0.000, 7.565]],
  "species": ["U", "U", "U", "U", "U", "U", "Re", "Re", "Re", "Re"],
  "fractional_positions": [[0.000, 0.000, 0.000], [0.083, 0.417, 0.250], [0.417, 0.083, 0.750], [0.500, 0.500, 0.500], [0.583, 0.917, 0.250], [0.917, 0.583, 0.750], [0.112, 0.888, 0.375], [0.388, 0.612, 0.875], [0.612, 0.388, 0.125], [0.888, 0.112, 0.625]],
  "delta_e_f_mev_per_atom": 369,
  "dos_at_fermi_per_ev_cell": 24.32
}

{
  "formula": "U5Re3",
  "functional": "GGA-PBE",
  "state": "optimized geometry",
  "lattice": [[2.616, -7.990, 0.000], [2.616, 7.990, 0.000], [-1.592, 0.000, 7.538]],
  "species": ["U", "U", "U", "U", "U", "U", "U", "U", "U", "U", "Re", "Re", "Re", "Re", "Re", "Re"],
  "fractional_positions": [[0.068, 0.739, 0.797], [0.192, 0.394, 0.668], [0.257, 0.257, 0.930], [0.261, 0.932, 0.203], [0.394, 0.192, 0.668], [0.606, 0.808, 0.332], [0.739, 0.068, 0.797], [0.743, 0.743, 0.070], [0.808, 0.606, 0.332], [0.932, 0.261, 0.203], [0.249, 0.249, 0.362], [0.253, 0.747, 0.500], [0.311, 0.689, 0.000], [0.689, 0.311, 0.000], [0.747, 0.253, 0.500], [0.751, 0.751, 0.638]],
  "delta_e_f_mev_per_atom": 156,
  "dos_at_fermi_per_ev_cell": 33.83
}

{
  "formula": "UV2Re",
  "functional": "GGA-PBE",
  "state": "optimized geometry",
  "lattice": [[3.148, 0.000, 0.000], [0.000, 3.148, 0.000], [0.000, 0.000, 6.296]],
  "species": ["U", "V", "V", "Re"],
  "fractional_positions": [[0.000, 0.000, 0.000], [0.500, 0.500, 0.260], [0.500, 0.500, 0.740], [0.000, 0.000, 0.500]],
  "delta_e_f_mev_per_atom": 152,
  "relative_energy_ev_per_atom": 0.090,
  "dos_at_fermi_per_ev_cell": 6.80
}

{
  "formula": "UV2Re",
  "functional": "GGA-PBE",
  "state": "optimized geometry",
  "lattice": [[3.759, 0.000, 0.000], [0.000, 3.759, 0.000], [0.000, 0.000, 4.706]],
  "species": ["U", "V", "V", "Re"],
  "fractional_positions": [[0.000, 0.000, 0.000], [0.000, 0.500, 0.500], [0.500, 0.000, 0.500], [0.500, 0.500, 0.000]],
  "delta_e_f_mev_per_atom": 263,
  "relative_energy_ev_per_atom": 0.201,
  "dos_at_fermi_per_ev_cell": 7.48
}

{
  "formula": "U2VRe",
  "functional": "GGA-PBE",
  "state": "optimized geometry",
  "lattice": [[1.459, 0.842, 9.718], [-1.459, 0.842, 9.718], [0.000, -1.685, 9.718]],
  "species": ["U", "U", "V", "Re"],
  "fractional_positions": [[0.085, 0.085, 0.085], [0.915, 0.915, 0.915], [0.000, 0.000, 0.000], [0.500, 0.500, 0.500]],
  "delta_e_f_mev_per_atom": 444,
  "dos_at_fermi_per_ev_cell": 7.14
}

{
  "formula": "UVRe",
  "functional": "GGA-PBE",
  "state": "optimized geometry",
  "lattice": [[4.484, 0.000, 0.000], [-2.242, 3.884, 0.000], [0.000, 0.000, 2.795]],
  "species": ["U", "V", "Re"],
  "fractional_positions": [[0.000, 0.000, 0.000], [0.667, 0.333, 0.239], [0.333, 0.667, 0.685]],
  "delta_e_f_mev_per_atom": 137,
  "relative_energy_ev_per_atom": 0.000,
  "dos_at_fermi_per_ev_cell": 4.94
}

{
  "formula": "UV2Re",
  "functional": "GGA-PBE",
  "state": "optimized geometry",
  "lattice": [[0.000, 3.145, 3.145], [3.145, 0.000, 3.145], [3.145, 3.145, 0.000]],
  "species": ["U", "V", "V", "Re"],
  "fractional_positions": [[0.000, 0.000, 0.000], [0.250, 0.250, 0.250], [0.750, 0.750, 0.750], [0.500, 0.500, 0.500]],
  "delta_e_f_mev_per_atom": 62,
  "relative_energy_ev_per_atom": 0.000,
  "dos_at_fermi_per_ev_cell": 3.38
}

{
  "formula": "UVRe",
  "functional": "GGA-PBE",
  "state": "optimized geometry",
  "lattice": [[3.450, 0.000, 0.000], [0.000, 3.450, 0.000], [0.000, 0.000, 4.961]],
  "species": ["U", "V", "Re"],
  "fractional_positions": [[0.000, 0.000, 0.000], [0.000, 0.000, 0.500], [0.500, 0.500, 0.500]],
  "delta_e_f_mev_per_atom": 881,
  "relative_energy_ev_per_atom": 0.744,
  "dos_at_fermi_per_ev_cell": 5.61
}

{
  "formula": "URe2W",
  "functional": "GGA-PBE",
  "state": "optimized geometry",
  "lattice": [[3.065, 0.000, 0.000], [0.000, 3.065, 0.000], [0.000, 0.000, 7.373]],
  "species": ["U", "Re", "Re", "W"],
  "fractional_positions": [[0.000, 0.000, 0.000], [0.500, 0.500, 0.285], [0.500, 0.500, 0.715], [0.000, 0.000, 0.500]],
  "delta_e_f_mev_per_atom": 86,
  "relative_energy_ev_per_atom": 0.000,
  "dos_at_fermi_per_ev_cell": 5.04
}

{
  "formula": "UReW",
  "functional": "GGA-PBE",
  "state": "optimized geometry",
  "lattice": [[4.651, 0.000, 0.000], [-2.325, 4.028, 0.000], [0.000, 0.000, 2.796]],
  "species": ["U", "Re", "W"],
  "fractional_positions": [[0.000, 0.000, 0.000], [0.333, 0.667, 0.691], [0.667, 0.333, 0.323]],
  "delta_e_f_mev_per_atom": 368,
  "relative_energy_ev_per_atom": 0.105,
  "dos_at_fermi_per_ev_cell": 5.84
}

{
  "formula": "URe2W",
  "functional": "GGA-PBE",
  "state": "optimized geometry",
  "lattice": [[4.646, 0.000, 0.000], [0.000, 4.646, 0.000], [0.000, 0.000, 3.198]],
  "species": ["U", "Re", "Re", "W"],
  "fractional_positions": [[0.000, 0.000, 0.000], [0.000, 0.500, 0.500], [0.500, 0.000, 0.500], [0.500, 0.500, 0.000]],
  "delta_e_f_mev_per_atom": 167,
  "relative_energy_ev_per_atom": 0.081,
  "dos_at_fermi_per_ev_cell": 5.93
}

{
  "formula": "UReW",
  "functional": "GGA-PBE",
  "state": "optimized geometry",
  "lattice": [[2.872, 0.000, 0.000], [0.000, 4.663, 0.000], [-1.260, 0.000, 8.001]],
  "species": ["U", "U", "Re", "Re", "W", "W"],
  "fractional_positions": [[0.035, 0.250, 0.281], [0.965, 0.750, 0.719], [0.439, 0.750, 0.378], [0.561, 0.250, 0.622], [0.305, 0.250, 0.930], [0.695, 0.750, 0.070]],
  "delta_e_f_mev_per_atom": 263,
  "relative_energy_ev_per_atom": 0.000,
  "dos_at_fermi_per_ev_cell": 8.48
}

{
  "formula": "UReW",
  "functional": "GGA-PBE",
  "state": "optimized geometry",
  "lattice": [[-1.833, 1.833, 4.099], [1.833, -1.833, 4.099], [1.833, 1.833, -4.099]],
  "species": ["U", "Re", "W"],
  "fractional_positions": [[0.000, 0.000, 0.000], [0.320, 0.320, 0.000], [0.688, 0.688, 0.000]],
  "delta_e_f_mev_per_atom": 509,
  "relative_energy_ev_per_atom": 0.245,
  "dos_at_fermi_per_ev_cell": 5.17
}

{
  "formula": "U2ReW",
  "functional": "GGA-PBE",
  "state": "optimized geometry",
  "lattice": [[1.458, 0.842, 10.247], [-1.458, 0.842, 10.247], [0.000, -1.683, 10.247]],
  "species": ["U", "U", "Re", "W"],
  "fractional_positions": [[0.090, 0.090, 0.090], [0.910, 0.910, 0.910], [0.500, 0.500, 0.500], [0.000, 0.000, 0.000]],
  "delta_e_f_mev_per_atom": 621,
  "dos_at_fermi_per_ev_cell": 7.58
}

{
  "formula": "URe2W",
  "functional": "GGA-PBE",
  "state": "optimized geometry",
  "lattice": [[1.422, 0.821, 9.686], [-1.422, 0.821, 9.686], [0.000, -1.642, 9.686]],
  "species": ["U", "Re", "Re", "W"],
  "fractional_positions": [[0.000, 0.000, 0.000], [0.242, 0.242, 0.242], [0.758, 0.758, 0.758], [0.500, 0.500, 0.500]],
  "delta_e_f_mev_per_atom": 297,
  "relative_energy_ev_per_atom": 0.210,
  "dos_at_fermi_per_ev_cell": 5.52
}